Entry 1:
## SrY2Au (PBE)

Data for crystalline SrY2Au at its relaxed geometry.

symmetry: R-3m (166)
final energy: -4.713 eV/atom

Geometry as extended XYZ:
```
12
Lattice="3.9928 0.0000 0.0000 -1.9964 3.4579 0.0000 0.0000 0.0000 30.8395" Properties=species:S:1:pos:R:3 pbc="T T T"
Sr 0.0000 0.0000 0.0000
Sr 0.0000 2.3052 20.5597
Sr 1.9964 1.1526 10.2798
Y 0.0000 0.0000 6.9402
Y 0.0000 0.0000 23.8994
Y 0.0000 2.3052 13.6195
Y 0.0000 2.3052 27.4999
Y 1.9964 1.1526 3.3397
Y 1.9964 1.1526 17.2200
Au 0.0000 0.0000 15.4198
Au 0.0000 2.3052 5.1399
Au 1.9964 1.1526 25.6996
```


Entry 2:
## SrYAu2 (PBE)

Data for crystalline SrYAu2 at its relaxed geometry.

symmetry: Amm2 (38)
final energy: -4.433 eV/atom

Geometry as extended XYZ:
```
8
Lattice="4.8041 0.0000 0.0000 0.0000 3.9621 0.0000 0.0000 0.0000 11.2396" Properties=species:S:1:pos:R:3 pbc="T T T"
Sr 0.0000 0.0000 0.0000
Sr 0.0000 1.9811 5.6198
Y 2.4020 0.0000 3.0734
Y 2.4020 1.9811 8.6932
Au 0.0000 0.0000 8.1758
Au 0.0000 1.9811 2.5560
Au 2.4020 0.0000 6.2816
Au 2.4020 1.9811 0.6618
```


Entry 3:
## SrY2Au (PBE)

Data for crystalline SrY2Au at its relaxed geometry.

symmetry: I4/mmm (139)
final energy: -4.517 eV/atom

Geometry as extended XYZ:
```
8
Lattice="4.6211 0.0000 0.0000 0.0000 4.6211 0.0000 0.0000 0.0000 11.2318" Properties=species:S:1:pos:R:3 pbc="T T T"
Sr 0.0000 0.0000 0.0000
Sr 2.3105 2.3105 5.6159
Y 0.0000 2.3105 2.8079
Y 0.0000 2.3105 8.4238
Y 2.3105 0.0000 2.8079
Y 2.3105 0.0000 8.4238
Au 0.0000 0.0000 5.6159
Au 2.3105 2.3105 0.0000
```